No. 1
BaLiAgGeS4 | PBE | relaxed

volume	187.5	Å³ per cell
symmetry	No. 82
E_tot	-4.491	eV per atom

a b c (Å): 6.2989 6.2989 6.2989
angles (deg): 115.06 115.06 98.80
Last column: nearest neighbours and their distance in Å.
Sites, in units of the cell vectors:
1 Ba 0.0000 0.0000 0.0000  8 S 3.24-3.34
2 Li 0.2500 0.7500 0.5000  4 S 2.51
3 Ag 0.7500 0.2500 0.5000  4 S 2.63
4 Ge 0.5000 0.5000 0.0000  4 S 2.24
5 S 0.1581 0.1441 0.6195  1 Ge 2.24
6 S 0.4614 0.8419 0.9859  1 Ge 2.24
7 S 0.5245 0.5386 0.3805  1 Ge 2.24
8 S 0.8559 0.4755 0.0141  1 Ge 2.24


No. 2
BaNaAgGeS4 | PBE | relaxed

volume	199.6	Å³ per cell
symmetry	No. 82
E_tot	-4.383	eV per atom

a b c (Å): 6.4025 6.4025 6.4025
angles (deg): 113.27 113.27 102.11
Last column: nearest neighbours and their distance in Å.
Sites, in units of the cell vectors:
1 Ba 0.0000 0.0000 0.0000  8 S 3.32-3.38
2 Na 0.7500 0.2500 0.5000  4 S 2.76
3 Ag 0.2500 0.7500 0.5000  4 S 2.60
4 Ge 0.5000 0.5000 0.0000  4 S 2.24
5 S 0.1658 0.1490 0.6286  1 Ge 2.24
6 S 0.4628 0.8342 0.9832  1 Ge 2.24
7 S 0.5204 0.5372 0.3714  1 Ge 2.24
8 S 0.8510 0.4796 0.0168  1 Ge 2.24


No. 3
BaAg2GeO4 | PBE | relaxed

excess energy over the best structure of this formula in the dataset	0	meV/atom
volume	125.7	Å³ per cell
symmetry	No. 23
E_tot	-5.403	eV per atom

a b c (Å): 5.5000 5.5000 5.5000
angles (deg): 114.88 113.48 100.42
Last column: nearest neighbours and their distance in Å.
Sites, in units of the cell vectors:
1 Ba 0.0000 0.0000 0.0000  8 O 2.88-2.95
2 Ag 0.2909 0.7909 0.5000  4 O 2.25-2.44
3 Ag 0.7091 0.2091 0.5000  4 O 2.25-2.44
4 Ge 0.5000 0.5000 0.0000  4 O 1.79
5 O 0.1792 0.5245 0.9982  1 Ge 1.79
6 O 0.4737 0.4755 0.6547  1 Ge 1.79
7 O 0.5263 0.1810 0.0018  1 Ge 1.79
8 O 0.8208 0.8190 0.3453  1 Ge 1.79


No. 4
BaAg2GeO4 | PBE | relaxed

excess energy over the best structure of this formula in the dataset	5	meV/atom
volume	124.8	Å³ per cell
symmetry	No. 121
E_tot	-5.398	eV per atom

a b c (Å): 5.4879 5.4879 5.4879
angles (deg): 114.24 114.24 100.30
Last column: nearest neighbours and their distance in Å.
Sites, in units of the cell vectors:
1 Ba 0.0000 0.0000 0.0000  8 O 2.90-2.93
2 Ag 0.2500 0.7500 0.5000  4 O 2.32
3 Ag 0.7500 0.2500 0.5000  4 O 2.32
4 Ge 0.5000 0.5000 0.0000  4 O 1.79
5 O 0.1812 0.1812 0.6513  1 Ge 1.79
6 O 0.4701 0.8188 0.0000  1 Ge 1.79
7 O 0.5299 0.5299 0.3487  1 Ge 1.79
8 O 0.8188 0.4701 0.0000  1 Ge 1.79


No. 5
BaAg2GeSeS3 | PBE | relaxed

excess energy over the best structure of this formula in the dataset	0	meV/atom
volume	203.1	Å³ per cell
symmetry	No. 1
E_tot	-4.267	eV per atom

a b c (Å): 6.4125 6.4418 6.4608
angles (deg): 111.96 115.81 100.43
Last column: nearest neighbours and their distance in Å.
Sites, in units of the cell vectors:
1 Ba 0.0000 0.0000 0.0000  6 S 3.33-3.41, 2 Se 3.37-3.38
2 Ag 0.1961 0.6863 0.4988  1 S 2.47, 1 Se 2.57
3 Ag 0.8024 0.3096 0.4963  2 S 2.50-2.51
4 Ge 0.4860 0.4867 0.9845  3 S 2.24-2.25, 1 Se 2.39
5 Se 0.8482 0.8473 0.3771  1 Ge 2.39, 1 Ag 2.57
6 S 0.1424 0.5170 0.9835  1 Ge 2.24, 1 Ag 2.50
7 S 0.4665 0.4693 0.6215  1 Ge 2.25, 1 Ag 2.47
8 S 0.5270 0.1546 0.0049  1 Ge 2.25, 1 Ag 2.51


No. 6
BaAg2GeSeS3 | PBE | relaxed

excess energy over the best structure of this formula in the dataset	4	meV/atom
volume	201.0	Å³ per cell
symmetry	No. 8
E_tot	-4.264	eV per atom

a b c (Å): 6.4190 6.4190 6.4310
angles (deg): 114.57 114.57 99.03
Last column: nearest neighbours and their distance in Å.
Sites, in units of the cell vectors:
1 Ba 0.0000 0.0000 0.0000  6 S 3.27-3.50, 2 Se 3.34-3.40
2 Ag 0.2586 0.7442 0.5071  3 S 2.57-2.66, 1 Se 2.71
3 Ag 0.7442 0.2586 0.5071  3 S 2.57-2.66, 1 Se 2.71
4 Ge 0.5181 0.5181 0.0226  3 S 2.24, 1 Se 2.38
5 Se 0.1588 0.1588 0.6273  1 Ge 2.38
6 S 0.4775 0.8554 0.0144  1 Ge 2.24
7 S 0.5434 0.5434 0.3917  1 Ge 2.24
8 S 0.8554 0.4775 0.0144  1 Ge 2.24